[1]
DFT (PBE) results for a relaxed structure of KCu2P2S6.

Lattice parameters (Å, degrees): 6.3580 9.7077 8.6112 124.45 118.92 40.25
Last column: nearest neighbours and their distance in Å.
Fractional coordinates of all 11 atoms:
K  0.5000  0.0000  0.5000  6 S 3.32-3.38
Cu  0.0009  0.3122  0.9999  4 S 2.31-2.36
Cu  0.9991  0.6878  0.0001  4 S 2.31-2.36
P  0.1895  0.8522  0.8945  3 S 2.02-2.09, 1 P 2.26
P  0.8105  0.1478  0.1055  3 S 2.02-2.09, 1 P 2.26
S  0.6507  0.6988  0.0487  1 P 2.09
S  0.8919  0.3579  0.2532  1 P 2.02
S  0.1096  0.9948  0.7467  1 P 2.02
S  0.1081  0.6421  0.7468  1 P 2.02
S  0.8904  0.0052  0.2533  1 P 2.02
S  0.3493  0.3012  0.9513  1 P 2.09

Properties
The density of states at the Fermi level is 4.78 states/eV/f.u. The calculation puts the uncorrected formation energy at -0.417 eV/atom. As for the space-group type: P-1 (2).

=====

[2]
DFT (PBE) results for a relaxed structure of CaSmMgRu.

Lattice parameters (Å, degrees): 5.1008 5.1008 5.1008 60.00 60.00 60.00
Last column: nearest neighbours and their distance in Å.
Fractional coordinates of all 4 atoms:
Ru  0.7500  0.7500  0.7500  4 Ca 3.12, 4 Sm 3.12
Ca  0.5000  0.5000  0.5000  4 Ru 3.12, 4 Mg 3.12
Mg  0.2500  0.2500  0.2500  4 Ca 3.12, 4 Sm 3.12
Sm  0.0000  0.0000  0.0000  4 Ru 3.12, 4 Mg 3.12

Properties
The density of states at the Fermi level is 3.16 states/eV/f.u. Its formation energy from the elements is 0.03 eV/atom. As for the space-group type: F-43m (216).

=====

[3]
DFT (PBE) results for a relaxed structure of Mg2B2AsIr5.

Lattice parameters (Å, degrees): 9.5045 9.5045 2.9703 90.00 90.00 90.00
Last column: nearest neighbours and their distance in Å.
Fractional coordinates of all 20 atoms:
Mg  0.8249  0.3249  0.0000  3 B 2.69-2.89, 10 Ir 2.78-2.97, 2 Mg 2.97
Mg  0.1751  0.6751  0.0000  3 B 2.69-2.89, 10 Ir 2.78-2.97, 2 Mg 2.97
Mg  0.3249  0.1751  0.0000  3 B 2.69-2.89, 10 Ir 2.78-2.97, 2 Mg 2.97
Mg  0.6751  0.8249  0.0000  3 B 2.69-2.89, 10 Ir 2.78-2.97, 2 Mg 2.97
B  0.6247  0.1247  0.0000  6 Ir 2.18-2.24
B  0.3753  0.8753  0.0000  6 Ir 2.18-2.24
B  0.1247  0.3753  0.0000  6 Ir 2.18-2.24
B  0.8753  0.6247  0.0000  6 Ir 2.18-2.24
As  0.5000  0.5000  0.0000  8 Ir 2.62
As  0.0000  0.0000  0.0000  8 Ir 2.62
Ir  0.5000  0.0000  0.5000  4 B 2.24
Ir  0.0000  0.5000  0.5000  4 B 2.24
Ir  0.7158  0.5727  0.5000  2 B 2.18
Ir  0.2842  0.4273  0.5000  2 B 2.18
Ir  0.2158  0.9273  0.5000  2 B 2.18
Ir  0.7842  0.0727  0.5000  2 B 2.18
Ir  0.4273  0.7158  0.5000  2 B 2.18
Ir  0.5727  0.2842  0.5000  2 B 2.18
Ir  0.0727  0.2158  0.5000  2 B 2.18
Ir  0.9273  0.7842  0.5000  2 B 2.18

Properties
The density of states at the Fermi level is 2.35 states/eV/f.u. Its formation energy from the elements is -0.42 eV/atom. As for the space-group type: P4/mbm (127).

=====

[4]
DFT (PBE) results for a relaxed structure of Li2ReW.

Lattice parameters (Å, degrees): 4.8208 2.6016 4.8728 81.72 90.00 90.00
Last column: nearest neighbours and their distance in Å.
Fractional coordinates of all 4 atoms:
Li  0.0000  0.0108  0.0078  5 Li 2.55-2.82, 2 Re 2.79, 2 W 2.84
Li  0.0000  0.4892  0.4922  5 Li 2.55-2.82, 2 Re 2.79, 2 W 2.84
Re  0.5000  0.2500  0.2500  2 W 2.59, 2 Re 2.60, 4 Li 2.79
W  0.5000  0.7500  0.7500  2 Re 2.59, 2 W 2.60, 4 Li 2.84

Properties
As for the relative energy among the computed polymorphs: 0.596 eV per formula unit. The density of states at the Fermi level is 1.66 states/eV/f.u. Its formation energy from the elements is 0.38 eV/atom. As for the space-group type: P2/m (10).

=====

[5]
DFT (PBE) results for a relaxed structure of Tb2HfS2N2.

Lattice parameters (Å, degrees): 4.1685 4.1685 7.6413 105.83 105.83 90.00
Last column: nearest neighbours and their distance in Å.
Fractional coordinates of all 7 atoms:
Tb  0.3832  0.3832  0.7665  4 N 2.66, 1 S 2.83
Tb  0.6168  0.6168  0.2335  4 N 2.66, 1 S 2.83
Hf  0.0000  0.0000  0.0000  4 N 2.08
S  0.1823  0.1823  0.3645  1 Hf 2.57, 1 Tb 2.83
S  0.8177  0.8177  0.6355  1 Hf 2.57, 1 Tb 2.83
N  0.0000  0.5000  0.0000  2 Hf 2.08
N  0.5000  0.0000  0.0000  2 Hf 2.08

Properties
The calculation puts the uncorrected formation energy at -1.761 eV/atom. As for the space-group type: I4/mmm (139).

=====

[6]
DFT (PBE) results for a relaxed structure of LaScMn4.

Lattice parameters (Å, degrees): 5.1318 5.1318 5.1318 60.00 60.00 60.00
Last column: nearest neighbours and their distance in Å.
Fractional coordinates of all 6 atoms:
La  0.0000  0.0000  0.0000  12 Mn 3.01, 4 Sc 3.14
Sc  0.7500  0.7500  0.7500  12 Mn 3.01, 4 La 3.14
Mn  0.8713  0.3762  0.3762  6 Mn 2.54-2.59
Mn  0.3762  0.3762  0.8713  6 Mn 2.54-2.59
Mn  0.3762  0.8713  0.3762  6 Mn 2.54-2.59
Mn  0.3762  0.3762  0.3762  6 Mn 2.54-2.59

Properties
The density of states at the Fermi level is 8.09 states/eV/f.u. Its formation energy from the elements is 0.16 eV/atom. As for the space-group type: F-43m (216).

=====

[7]
DFT (PBE) results for a relaxed structure of Ca2MgPb.

Lattice parameters (Å, degrees): 5.5898 5.5898 5.5898 60.00 60.00 60.00
Last column: nearest neighbours and their distance in Å.
Fractional coordinates of all 4 atoms:
Ca  0.0000  0.0000  0.0000  4 Pb 3.42, 4 Ca 3.42
Ca  0.2500  0.2500  0.2500  4 Mg 3.42, 4 Ca 3.42
Mg  0.5000  0.5000  0.5000  4 Pb 3.42, 4 Ca 3.42
Pb  0.7500  0.7500  0.7500  4 Mg 3.42, 4 Ca 3.42

Properties
The density of states at the Fermi level is 4.08 states/eV/f.u. Its formation energy from the elements is -0.13 eV/atom. As for the space-group type: F-43m (216).

=====

[8]
DFT (PBE) results for a relaxed structure of HgRu2W.

Lattice parameters (Å, degrees): 2.8958 4.8542 4.6028 90.00 90.00 90.00
Last column: nearest neighbours and their distance in Å.
Fractional coordinates of all 4 atoms:
Hg  0.0000  0.5000  0.5000  4 Ru 2.72, 4 W 2.83, 2 Hg 2.90
Ru  0.0000  0.0000  0.0000  4 W 2.72, 6 Ru 2.83-2.90
Ru  0.5000  0.5000  0.0000  4 Hg 2.72, 6 Ru 2.83-2.90
W  0.5000  0.0000  0.5000  4 Ru 2.72, 4 Hg 2.83, 2 W 2.90

Properties
As for the relative energy among the computed polymorphs: 2.191 eV per formula unit. The density of states at the Fermi level is 4.96 states/eV/f.u. Its formation energy from the elements is 0.77 eV/atom. As for the space-group type: Pmmm (47).

=====

[9]
DFT (PBE) results for a relaxed structure of TaPRh2.

Lattice parameters (Å, degrees): 5.4969 5.4969 3.8299 90.00 90.00 149.32
Last column: nearest neighbours and their distance in Å.
Fractional coordinates of all 4 atoms:
Ta  0.9200  0.0800  0.0000  4 P 2.67, 7 Rh 2.75-2.86, 2 Ta 2.91
P  0.3103  0.6897  0.5000  3 Rh 2.31-2.49
Rh  0.1877  0.8123  0.0000  2 P 2.31
Rh  0.5455  0.4545  0.5000  1 P 2.49, 4 Ta 2.75

Properties
The density of states at the Fermi level is 3.51 states/eV/f.u. Its formation energy from the elements is -0.50 eV/atom. As for the space-group type: Amm2 (38).

=====

[10]
DFT (PBE) results for a relaxed structure of MnCr2H3.

Lattice parameters (Å, degrees): 3.7617 5.3668 7.9921 90.00 90.00 90.00
Last column: nearest neighbours and their distance in Å.
Fractional coordinates of all 24 atoms:
Mn  0.2500  0.8753  0.0829  6 H 1.88-1.90
Mn  0.2500  0.3753  0.4171  6 H 1.88-1.90
Mn  0.7500  0.6247  0.5829  6 H 1.88-1.90
Mn  0.7500  0.1247  0.9171  6 H 1.88-1.90
Cr  0.2500  0.8742  0.7468  6 H 1.86-1.89
Cr  0.2500  0.3742  0.7532  6 H 1.86-1.89
Cr  0.2500  0.8738  0.4149  6 H 1.88-1.93
Cr  0.2500  0.3738  0.0851  6 H 1.88-1.93
Cr  0.7500  0.6262  0.9149  6 H 1.88-1.93
Cr  0.7500  0.1262  0.5851  6 H 1.88-1.93
Cr  0.7500  0.6258  0.2468  6 H 1.86-1.89
Cr  0.7500  0.1258  0.2532  6 H 1.86-1.89
H  0.2500  0.6203  0.5858  3 Cr 1.87-1.93, 3 Mn 1.88
H  0.2500  0.1203  0.9142  3 Cr 1.87-1.93, 3 Mn 1.88
H  0.2500  0.6247  0.9143  5 Cr 1.86-1.92, 1 Mn 1.90
H  0.2500  0.1247  0.5857  5 Cr 1.86-1.92, 1 Mn 1.90
H  0.2500  0.6244  0.2493  4 Cr 1.88, 2 Mn 1.89
H  0.2500  0.1244  0.2507  4 Cr 1.88, 2 Mn 1.89
H  0.7500  0.8756  0.7493  4 Cr 1.88, 2 Mn 1.89
H  0.7500  0.3756  0.7507  4 Cr 1.88, 2 Mn 1.89
H  0.7500  0.8753  0.4143  5 Cr 1.86-1.92, 1 Mn 1.90
H  0.7500  0.3753  0.0857  5 Cr 1.86-1.92, 1 Mn 1.90
H  0.7500  0.8797  0.0858  3 Cr 1.87-1.93, 3 Mn 1.88
H  0.7500  0.3797  0.4142  3 Cr 1.87-1.93, 3 Mn 1.88

Properties
The density of states at the Fermi level is 4.01 states/eV/f.u. As for the space-group type: Pnma (62).

=====

[11]
DFT (PBE) results for a relaxed structure of ThIn2Hg2.

Lattice parameters (Å, degrees): 5.2451 5.2451 12.8679 90.00 90.00 120.00
Last column: nearest neighbours and their distance in Å.
Fractional coordinates of all 10 atoms:
Th  0.0000  0.0000  0.2500  5 In 3.03-3.22
Th  0.0000  0.0000  0.7500  5 In 3.03-3.22
In  0.6667  0.3333  0.7500  3 Th 3.03
In  0.0000  0.0000  0.0000  2 Th 3.22, 6 Hg 3.38
In  0.0000  0.0000  0.5000  2 Th 3.22, 6 Hg 3.38
In  0.3333  0.6667  0.2500  3 Th 3.03
Hg  0.3333  0.6667  0.6171  6 In 3.38-3.48, 1 Hg 3.42, 3 Th 3.48
Hg  0.6667  0.3333  0.1171  6 In 3.38-3.48, 1 Hg 3.42, 3 Th 3.48
Hg  0.6667  0.3333  0.3829  6 In 3.38-3.48, 1 Hg 3.42, 3 Th 3.48
Hg  0.3333  0.6667  0.8829  6 In 3.38-3.48, 1 Hg 3.42, 3 Th 3.48

Properties
The density of states at the Fermi level is 2.32 states/eV/f.u. Its formation energy from the elements is 0.11 eV/atom. As for the space-group type: P6_3/mmc (194).

=====

Record-wise DFT total energy values, in eV/atom: -4.50; -4.37; -6.97; -6.93; -8.06; -7.82; -2.46; -7.19; -8.49; -6.44; -2.59